Crystalline LiGd3Os at its relaxed geometry, computed with GGA-PBE.

The structure in extended XYZ format:
```
5
Lattice="-4.867 1.755 1.736 -1.886 -0.167 -5.118 -1.593 -5.164 0.755" Properties=species:S:1:pos:R:3 pbc="T T T"
Li -4.173 -1.788 -1.313
Os 0.000 0.000 0.000
Gd -0.797 -2.582 0.378
Gd -2.433 0.878 0.868
Gd -0.943 -0.083 -2.559
```

## Properties
The energy of formation from the pure elements comes out at 0.00 eV per atom. The calculation puts the uncorrected energy at -55.364 eV per cell. Its space-group type is Pm-3m. Its volume is 163 Å³ per cell. The crystal system is cubic.